## TmHfHgIr (PBE)

Data for an optimized crystal structure of TmHfHgIr.

Calculated values
symmetry	No. 216
electronic total energy	-6.364	eV/atom
DOS(E_F)	0.803	states/eV/atom
calculated formation energy	-467	meV/atom

Cell: 6.8939 6.8939 6.8939 Å, 90.00 90.00 90.00°
Closest atoms and distances in Å follow each position.
Sites, in units of the cell vectors:
Tm1 0.0000 0.0000 0.0000  4 Hg 2.99, 4 Ir 2.99
Tm2 0.0000 0.5000 0.5000  4 Hg 2.99, 4 Ir 2.99
Tm3 0.5000 0.0000 0.5000  4 Hg 2.99, 4 Ir 2.99
Tm4 0.5000 0.5000 0.0000  4 Hg 2.99, 4 Ir 2.99
Hf1 0.0000 0.0000 0.5000  4 Hg 2.99, 4 Ir 2.99
Hf2 0.0000 0.5000 0.0000  4 Hg 2.99, 4 Ir 2.99
Hf3 0.5000 0.0000 0.0000  4 Hg 2.99, 4 Ir 2.99
Hf4 0.5000 0.5000 0.5000  4 Ir 2.99, 4 Hg 2.99
Hg1 0.2500 0.2500 0.2500  4 Hf 2.99, 4 Tm 2.99
Hg2 0.2500 0.7500 0.7500  4 Hf 2.99, 4 Tm 2.99
Hg3 0.7500 0.2500 0.7500  4 Hf 2.99, 4 Tm 2.99
Hg4 0.7500 0.7500 0.2500  4 Hf 2.99, 4 Tm 2.99
Ir1 0.2500 0.2500 0.7500  4 Hf 2.99, 4 Tm 2.99
Ir2 0.2500 0.7500 0.2500  4 Hf 2.99, 4 Tm 2.99
Ir3 0.7500 0.2500 0.2500  4 Hf 2.99, 4 Tm 2.99
Ir4 0.7500 0.7500 0.7500  4 Tm 2.99, 4 Hf 2.99

=====

## MgIn2Cu (PBE)

Data for an optimized crystal structure of MgIn2Cu.

Calculated values
symmetry	No. 119
electronic total energy	-2.741	eV/atom
DOS(E_F)	0.330	states/eV/atom
calculated formation energy	51	meV/atom

Cell: 4.3087 4.3087 8.8719 Å, 90.00 90.00 90.00°
Closest atoms and distances in Å follow each position.
Sites, in units of the cell vectors:
Mg1 0.0000 0.0000 0.0000  8 In 3.05-3.09, 4 Cu 3.09
Mg2 0.5000 0.5000 0.5000  8 In 3.05-3.09, 4 Cu 3.09
In1 0.0000 0.0000 0.5000  4 Mg 3.05, 4 In 3.09, 4 Cu 3.09
In2 0.0000 0.5000 0.2500  4 Cu 3.05, 4 In 3.09, 4 Mg 3.09
In3 0.5000 0.0000 0.7500  4 Cu 3.05, 4 In 3.09, 4 Mg 3.09
In4 0.5000 0.5000 0.0000  4 Mg 3.05, 4 In 3.09, 4 Cu 3.09
Cu1 0.0000 0.5000 0.7500  8 In 3.05-3.09, 4 Mg 3.09
Cu2 0.5000 0.0000 0.2500  8 In 3.05-3.09, 4 Mg 3.09